# 1
LaMg3I | Alexandria | PBE | optimized geometry; formation energy without anion corrections = 229.8 kJ/mol of formula units; space-group type = No. 221; total DFT energy (no corrections) = -8.88 eV per cell
1.0
5.6580 0.0000 0.0000
0.0000 5.6580 0.0000
0.0000 0.0000 5.6580
I Mg La
1 3 1
direct
0.0000 0.0000 0.0000 I
0.0000 0.5000 0.0000 Mg
0.0000 0.0000 0.5000 Mg
0.5000 0.0000 0.0000 Mg
0.5000 0.5000 0.5000 La


# 2
La2MgI | Alexandria | PBE | optimized geometry; formation energy without anion corrections = -65.4 kJ/mol of formula units; space-group type = No. 166; total DFT energy (no corrections) = -13.68 eV per cell
1.0
3.7064 0.0000 0.0000
1.8532 3.2099 0.0000
1.8532 1.0700 12.1250
I Mg La
1 1 2
direct
0.5000 0.5000 0.5000 I
0.0000 0.0000 0.0000 Mg
0.0955 0.0955 0.7136 La
0.9045 0.9045 0.2864 La


# 3
La2MgI | Alexandria | PBE | optimized geometry; formation energy without anion corrections = -154.3 kJ/mol of formula units; space-group type = No. 8; total DFT energy (no corrections) = -14.60 eV per cell
1.0
-2.6715 0.6625 2.7862
-1.8610 -3.0068 1.6835
5.8730 -1.3117 8.6815
La Mg I
2 1 1
direct
0.0825 0.0825 0.7523 La
0.2513 0.2513 0.2462 La
0.4999 0.4999 0.5002 Mg
0.6663 0.6663 0.0014 I


# 4
LaMg2I6 | Alexandria | PBE | optimized geometry; formation energy without anion corrections = -901.2 kJ/mol of formula units; space-group type = No. 146; total DFT energy (no corrections) = -26.76 eV per cell
1.0
8.0765 0.0000 0.0000
4.0382 6.9944 0.0000
4.0382 2.3315 8.0735
La Mg I
1 2 6
direct
0.3331 0.3331 0.0006 La
0.7270 0.7270 0.8190 Mg
0.6050 0.6050 0.1851 Mg
0.7187 0.4298 0.7496 I
0.1018 0.7187 0.7496 I
0.4298 0.1018 0.7496 I
0.2602 0.5549 0.2498 I
0.9351 0.2602 0.2498 I
0.5549 0.9351 0.2498 I